Entry 1:
Crystalline SrAlO2F at its relaxed geometry. Source: the Alexandria database, functional GGA-PBEsol.

Cell and atoms, written as CIF:
```
data_SrAlO2F
_chemical_formula_sum 'Sr1 Al1 O2 F1'
_space_group_name_H-M_alt 'P 1'
_space_group_IT_number 1
_cell_length_a 3.777
_cell_length_b 3.777
_cell_length_c 3.815
_cell_angle_alpha 90.00
_cell_angle_beta 90.00
_cell_angle_gamma 90.00
loop_
_space_group_symop_operation_xyz
'x,y,z'
loop_
_atom_site_label
_atom_site_fract_x
_atom_site_fract_y
_atom_site_fract_z
Sr1 0.000 0.000 0.000
Al1 0.500 0.500 0.500
O1 0.000 0.500 0.500
O2 0.500 0.000 0.500
F1 0.500 0.500 0.000
```

SG: P4/mmm (123)
Formation energy from raw total energies: -3205 meV per atom
Mass density: 5.05 g cm⁻³
E_tot: -34.39 eV/cell
Density of states at the Fermi level: 0.000 states/eV/f.u.
Spin magnetization: 0.0 Bohr magnetons per cell

Entry 2:
Crystalline Ta6Al8O27F at its relaxed geometry. Source: the Alexandria database, functional GGA-PBEsol.

Cell and atoms, written as CIF:
```
data_Ta6Al8O27F
_chemical_formula_sum 'Ta6 Al8 O27 F1'
_space_group_name_H-M_alt 'P 1'
_space_group_IT_number 1
_cell_length_a 7.376
_cell_length_b 8.666
_cell_length_c 8.667
_cell_angle_alpha 94.97
_cell_angle_beta 115.18
_cell_angle_gamma 115.18
loop_
_space_group_symop_operation_xyz
'x,y,z'
loop_
_atom_site_label
_atom_site_fract_x
_atom_site_fract_y
_atom_site_fract_z
Ta1 0.000 0.000 0.000
Ta2 0.074 0.750 0.249
Ta3 0.410 0.911 0.084
Ta4 0.497 0.497 0.499
Ta5 0.578 0.248 0.749
Ta6 0.914 0.414 0.587
Al1 0.000 0.090 0.409
Al2 0.047 0.866 0.632
Al3 0.189 0.461 0.051
Al4 0.415 0.807 0.697
Al5 0.510 0.599 0.910
Al6 0.558 0.369 0.141
Al7 0.688 0.953 0.542
Al8 0.915 0.305 0.198
O1 0.008 0.223 0.050
O2 0.052 0.974 0.249
O3 0.067 0.792 0.016
O4 0.095 0.535 0.192
O5 0.151 0.779 0.493
O6 0.167 0.320 0.402
O7 0.243 0.107 0.622
O8 0.243 0.571 0.702
O9 0.310 0.892 0.830
O10 0.350 0.126 0.100
O11 0.388 0.677 0.043
O12 0.422 0.899 0.321
O13 0.447 0.465 0.255
O14 0.506 0.719 0.552
O15 0.552 0.474 0.751
O16 0.569 0.292 0.518
O17 0.597 0.034 0.688
O18 0.649 0.279 0.993
O19 0.668 0.825 0.903
O20 0.735 0.601 0.119
O21 0.738 0.071 0.199
O22 0.816 0.394 0.333
O23 0.821 0.879 0.437
O24 0.847 0.623 0.600
O25 0.887 0.182 0.547
O26 0.930 0.403 0.826
O27 0.953 0.967 0.762
F1 0.313 0.370 0.929
```

SG: P1 (1)
Formation energy from raw total energies: -2917 meV per atom
Mass density: 6.79 g cm⁻³
E_tot: -374.22 eV/cell
Density of states at the Fermi level: 18.323 states/eV/f.u.
Spin magnetization: 0.9 Bohr magnetons per cell

Entry 3:
Crystalline AlTlOF2 at its relaxed geometry. Source: the Alexandria database, functional GGA-PBEsol.

Cell and atoms, written as CIF:
```
data_AlTlOF2
_chemical_formula_sum 'Al1 Tl1 O1 F2'
_space_group_name_H-M_alt 'P 1'
_space_group_IT_number 1
_cell_length_a 4.538
_cell_length_b 4.538
_cell_length_c 4.066
_cell_angle_alpha 90.00
_cell_angle_beta 90.00
_cell_angle_gamma 90.00
loop_
_space_group_symop_operation_xyz
'x,y,z'
loop_
_atom_site_label
_atom_site_fract_x
_atom_site_fract_y
_atom_site_fract_z
Al1 0.000 0.000 0.000
Tl1 0.500 0.500 0.500
O1 0.500 0.500 0.000
F1 0.000 0.500 0.500
F2 0.500 0.000 0.500
```

SG: P4/mmm (123)
Formation energy from raw total energies: -974 meV per atom
Mass density: 5.66 g cm⁻³
E_tot: -20.69 eV/cell
Density of states at the Fermi level: 0.404 states/eV/f.u.
Spin magnetization: 0.0 Bohr magnetons per cell

Entry 4:
Crystalline YAlOF2 at its relaxed geometry. Source: the Alexandria database, functional GGA-PBEsol.

Cell and atoms, written as CIF:
```
data_YAlOF2
_chemical_formula_sum 'Y1 Al1 O1 F2'
_space_group_name_H-M_alt 'P 1'
_space_group_IT_number 1
_cell_length_a 4.238
_cell_length_b 4.238
_cell_length_c 3.517
_cell_angle_alpha 90.00
_cell_angle_beta 90.00
_cell_angle_gamma 90.00
loop_
_space_group_symop_operation_xyz
'x,y,z'
loop_
_atom_site_label
_atom_site_fract_x
_atom_site_fract_y
_atom_site_fract_z
Y1 0.000 0.000 0.000
Al1 0.500 0.500 0.500
O1 0.500 0.500 0.000
F1 0.000 0.500 0.500
F2 0.500 0.000 0.500
```

SG: P4/mmm (123)
Formation energy from raw total energies: -2296 meV per atom
Mass density: 4.47 g cm⁻³
E_tot: -31.50 eV/cell
Density of states at the Fermi level: 2.920 states/eV/f.u.
Spin magnetization: 0.0 Bohr magnetons per cell

Entry 5:
Crystalline AlPF2 at its relaxed geometry. Source: the Alexandria database, functional GGA-PBEsol.

Cell and atoms, written as CIF:
```
data_AlPF2
_chemical_formula_sum 'Al2 P2 F4'
_space_group_name_H-M_alt 'P 1'
_space_group_IT_number 1
_cell_length_a 5.602
_cell_length_b 5.602
_cell_length_c 5.602
_cell_angle_alpha 60.00
_cell_angle_beta 60.00
_cell_angle_gamma 60.00
loop_
_space_group_symop_operation_xyz
'x,y,z'
loop_
_atom_site_label
_atom_site_fract_x
_atom_site_fract_y
_atom_site_fract_z
Al1 0.125 0.125 0.125
Al2 0.875 0.875 0.875
P1 0.375 0.375 0.375
P2 0.625 0.625 0.625
F1 0.000 0.000 0.000
F2 0.000 0.000 0.500
F3 0.000 0.500 0.000
F4 0.500 0.000 0.000
```

SG: Fd-3m (227)
Formation energy from raw total energies: -1415 meV per atom
Mass density: 2.56 g cm⁻³
E_tot: -38.80 eV/cell
Density of states at the Fermi level: 0.996 states/eV/f.u.
Spin magnetization: 0.0 Bohr magnetons per cell

Entry 6:
Crystalline Al2PbF at its relaxed geometry. Source: the Alexandria database, functional GGA-PBEsol.

Cell and atoms, written as CIF:
```
data_Al2PbF
_chemical_formula_sum 'Al2 Pb1 F1'
_space_group_name_H-M_alt 'P 1'
_space_group_IT_number 1
_cell_length_a 4.683
_cell_length_b 4.683
_cell_length_c 4.683
_cell_angle_alpha 60.00
_cell_angle_beta 60.00
_cell_angle_gamma 60.00
loop_
_space_group_symop_operation_xyz
'x,y,z'
loop_
_atom_site_label
_atom_site_fract_x
_atom_site_fract_y
_atom_site_fract_z
Al1 0.250 0.250 0.250
Al2 0.750 0.750 0.750
Pb1 0.000 0.000 0.000
F1 0.500 0.500 0.500
```

SG: Fm-3m (225)
Formation energy from raw total energies: -384 meV per atom
Mass density: 6.40 g cm⁻³
E_tot: -15.65 eV/cell
Density of states at the Fermi level: 1.055 states/eV/f.u.
Spin magnetization: 0.0 Bohr magnetons per cell

Entry 7:
Crystalline AlPbF3 at its relaxed geometry. Source: the Alexandria database, functional GGA-PBEsol.

Cell and atoms, written as CIF:
```
data_AlPbF3
_chemical_formula_sum 'Al1 Pb1 F3'
_space_group_name_H-M_alt 'P 1'
_space_group_IT_number 1
_cell_length_a 4.145
_cell_length_b 4.145
_cell_length_c 4.145
_cell_angle_alpha 90.00
_cell_angle_beta 90.00
_cell_angle_gamma 90.00
loop_
_space_group_symop_operation_xyz
'x,y,z'
loop_
_atom_site_label
_atom_site_fract_x
_atom_site_fract_y
_atom_site_fract_z
Al1 0.000 0.000 0.000
Pb1 0.500 0.500 0.500
F1 0.000 0.000 0.500
F2 0.000 0.500 0.000
F3 0.500 0.000 0.000
```

SG: Pm-3m (221)
Formation energy from raw total energies: -1970 meV per atom
Mass density: 6.79 g cm⁻³
E_tot: -23.72 eV/cell
Density of states at the Fermi level: 0.978 states/eV/f.u.
Spin magnetization: 0.0 Bohr magnetons per cell

Entry 8:
Crystalline AlPbF5 at its relaxed geometry. Source: the Alexandria database, functional GGA-PBEsol.

Cell and atoms, written as CIF:
```
data_AlPbF5
_chemical_formula_sum 'Al8 Pb8 F40'
_space_group_name_H-M_alt 'P 1'
_space_group_IT_number 1
_cell_length_a 10.692
_cell_length_b 10.692
_cell_length_c 10.692
_cell_angle_alpha 96.49
_cell_angle_beta 96.49
_cell_angle_gamma 140.72
loop_
_space_group_symop_operation_xyz
'x,y,z'
loop_
_atom_site_label
_atom_site_fract_x
_atom_site_fract_y
_atom_site_fract_z
Al1 0.000 0.500 0.500
Al2 0.164 0.682 0.846
Al3 0.248 0.248 0.000
Al4 0.318 0.164 0.482
Al5 0.500 0.000 0.500
Al6 0.682 0.836 0.518
Al7 0.752 0.752 0.000
Al8 0.836 0.318 0.154
Pb1 0.072 0.241 0.313
Pb2 0.241 0.928 0.169
Pb3 0.276 0.450 0.726
Pb4 0.450 0.724 0.174
Pb5 0.550 0.276 0.826
Pb6 0.724 0.550 0.274
Pb7 0.759 0.072 0.831
Pb8 0.928 0.759 0.687
F1 0.000 0.000 0.000
F2 0.037 0.428 0.809
F3 0.053 0.614 0.667
F4 0.067 0.419 0.140
F5 0.073 0.933 0.352
F6 0.111 0.436 0.547
F7 0.136 0.299 0.928
F8 0.209 0.136 0.837
F9 0.228 0.037 0.609
F10 0.245 0.267 0.513
F11 0.250 0.750 0.500
F12 0.267 0.755 0.022
F13 0.279 0.927 0.860
F14 0.299 0.372 0.163
F15 0.372 0.209 0.072
F16 0.381 0.772 0.809
F17 0.386 0.053 0.439
F18 0.419 0.279 0.352
F19 0.428 0.619 0.391
F20 0.436 0.889 0.325
F21 0.500 0.500 0.000
F22 0.564 0.111 0.675
F23 0.572 0.381 0.609
F24 0.581 0.721 0.648
F25 0.614 0.947 0.561
F26 0.619 0.228 0.191
F27 0.628 0.791 0.928
F28 0.701 0.628 0.837
F29 0.721 0.073 0.140
F30 0.733 0.245 0.978
F31 0.750 0.250 0.500
F32 0.755 0.733 0.487
F33 0.772 0.963 0.391
F34 0.791 0.864 0.163
F35 0.864 0.701 0.072
F36 0.889 0.564 0.453
F37 0.927 0.067 0.648
F38 0.933 0.581 0.860
F39 0.947 0.386 0.333
F40 0.963 0.572 0.191
```

SG: I4/m (87)
Formation energy from raw total energies: -3063 meV per atom
Mass density: 6.00 g cm⁻³
E_tot: -313.37 eV/cell
Density of states at the Fermi level: 0.000 states/eV/f.u.
Spin magnetization: 0.0 Bohr magnetons per cell

Entry 9:
Crystalline AlPbF2 at its relaxed geometry. Source: the Alexandria database, functional GGA-PBEsol.

Cell and atoms, written as CIF:
```
data_AlPbF2
_chemical_formula_sum 'Al2 Pb2 F4'
_space_group_name_H-M_alt 'P 1'
_space_group_IT_number 1
_cell_length_a 5.877
_cell_length_b 5.877
_cell_length_c 5.877
_cell_angle_alpha 60.00
_cell_angle_beta 60.00
_cell_angle_gamma 60.00
loop_
_space_group_symop_operation_xyz
'x,y,z'
loop_
_atom_site_label
_atom_site_fract_x
_atom_site_fract_y
_atom_site_fract_z
Al1 0.125 0.125 0.125
Al2 0.875 0.875 0.875
Pb1 0.375 0.375 0.375
Pb2 0.625 0.625 0.625
F1 0.000 0.000 0.000
F2 0.000 0.000 0.500
F3 0.000 0.500 0.000
F4 0.500 0.000 0.000
```

SG: Fd-3m (227)
Formation energy from raw total energies: -1689 meV per atom
Mass density: 6.30 g cm⁻³
E_tot: -37.40 eV/cell
Density of states at the Fermi level: 1.616 states/eV/f.u.
Spin magnetization: 0.0 Bohr magnetons per cell

Entry 10:
Crystalline AlPd2F at its relaxed geometry. Source: the Alexandria database, functional GGA-PBEsol.

Cell and atoms, written as CIF:
```
data_AlPd2F
_chemical_formula_sum 'Al1 Pd2 F1'
_space_group_name_H-M_alt 'P 1'
_space_group_IT_number 1
_cell_length_a 4.185
_cell_length_b 4.185
_cell_length_c 4.185
_cell_angle_alpha 60.00
_cell_angle_beta 60.00
_cell_angle_gamma 60.00
loop_
_space_group_symop_operation_xyz
'x,y,z'
loop_
_atom_site_label
_atom_site_fract_x
_atom_site_fract_y
_atom_site_fract_z
Al1 0.000 0.000 0.000
Pd1 0.250 0.250 0.250
Pd2 0.750 0.750 0.750
F1 0.500 0.500 0.500
```

SG: Fm-3m (225)
Formation energy from raw total energies: -776 meV per atom
Mass density: 8.29 g cm⁻³
E_tot: -21.04 eV/cell
Density of states at the Fermi level: 0.499 states/eV/f.u.
Spin magnetization: 0.0 Bohr magnetons per cell